Record 1
This record from Alexandria via LeMat-Bulk describes Nd2DyY4 after structural relaxation. The functional is PBE.

Cell lengths 5.672, 5.672, 16.750 Å; angles 90.00, 90.00, 119.88 degrees
Sites, in units of the cell vectors:
Nd 0.166 0.834 0.556
Nd 0.166 0.834 0.944
Nd 0.834 0.166 0.056
Nd 0.834 0.166 0.444
Dy 0.498 0.502 0.750
Dy 0.502 0.498 0.250
Y 0.165 0.835 0.750
Y 0.168 0.832 0.148
Y 0.168 0.832 0.352
Y 0.500 0.500 0.000
Y 0.500 0.500 0.500
Y 0.832 0.168 0.648
Y 0.832 0.168 0.852
Y 0.835 0.165 0.250

Values from the calculation:
Formation enthalpy at 0 K in eV per atom: 0.157
Symmetry: No. 63
E above lowest polymorph in meV per atom: 111.6
E_tot in eV per atom: -5.557

---

Record 2
This record from Alexandria via LeMat-Bulk describes P2PbO6 after structural relaxation. The functional is PBE.

Cell lengths 7.415, 8.139, 17.715 Å; angles 90.00, 91.04, 90.00 degrees
Sites, in units of the cell vectors:
P 0.131 0.015 0.191
P 0.131 0.485 0.691
P 0.250 0.214 0.590
P 0.250 0.286 0.090
P 0.263 0.518 0.357
P 0.263 0.982 0.857
P 0.362 0.699 0.958
P 0.362 0.801 0.458
P 0.638 0.199 0.542
P 0.638 0.301 0.042
P 0.737 0.018 0.143
P 0.737 0.482 0.643
P 0.750 0.714 0.910
P 0.750 0.786 0.410
P 0.869 0.515 0.309
P 0.869 0.985 0.809
Pb 0.025 0.125 0.398
Pb 0.025 0.375 0.898
Pb 0.483 0.642 0.174
Pb 0.483 0.858 0.674
Pb 0.517 0.142 0.326
Pb 0.517 0.358 0.826
Pb 0.975 0.625 0.102
Pb 0.975 0.875 0.602
O 0.079 0.570 0.313
O 0.079 0.930 0.813
O 0.099 0.165 0.536
O 0.099 0.335 0.036
O 0.153 0.667 0.679
O 0.153 0.833 0.179
O 0.202 0.090 0.263
O 0.202 0.410 0.763
O 0.212 0.102 0.118
O 0.212 0.398 0.618
O 0.252 0.156 0.885
O 0.252 0.344 0.385
O 0.263 0.635 0.430
O 0.263 0.865 0.930
O 0.283 0.100 0.655
O 0.283 0.400 0.155
O 0.310 0.677 0.039
O 0.310 0.823 0.539
O 0.327 0.559 0.903
O 0.327 0.941 0.403
O 0.418 0.560 0.307
O 0.418 0.940 0.807
O 0.427 0.248 0.541
O 0.427 0.252 0.041
O 0.573 0.748 0.959
O 0.573 0.752 0.459
O 0.582 0.060 0.193
O 0.582 0.440 0.693
O 0.673 0.059 0.597
O 0.673 0.441 0.097
O 0.690 0.177 0.461
O 0.690 0.323 0.961
O 0.717 0.600 0.845
O 0.717 0.900 0.345
O 0.737 0.135 0.070
O 0.737 0.365 0.570
O 0.748 0.656 0.615
O 0.748 0.844 0.115
O 0.788 0.602 0.382
O 0.788 0.898 0.882
O 0.798 0.590 0.237
O 0.798 0.910 0.737
O 0.847 0.167 0.821
O 0.847 0.333 0.321
O 0.901 0.665 0.964
O 0.901 0.835 0.464
O 0.921 0.070 0.187
O 0.921 0.430 0.687

Values from the calculation:
Formation energy from raw total energies in kcal/mol of atoms: -46.61
Symmetry: No. 14
E_tot in eV per atom: -6.941